A relaxed structure of Nd4Dy2Er5. Source: Alexandria, functional PBE.

```
data_Nd4Dy2Er5
_cell_length_a 19.1299
_cell_length_b 5.6514
_cell_length_c 6.6221
_cell_angle_alpha 90.00
_cell_angle_beta 90.87
_cell_angle_gamma 90.00
_symmetry_space_group_name_H-M 'C 1 2/m 1'
_symmetry_Int_Tables_number 12
loop_
_symmetry_equiv_pos_as_xyz
'x,y,z'
'-x,-y,-z'
'-x,y,-z'
'x,-y,z'
'x+1/2,y+1/2,z'
'-x+1/2,-y+1/2,-z'
'-x+1/2,y+1/2,-z'
'x+1/2,-y+1/2,z'
loop_
_atom_site_label
_atom_site_fract_x
_atom_site_fract_y
_atom_site_fract_z
Nd1 0.0209 0.0000 0.2864
Nd2 0.1942 0.5000 0.0740
Dy1 0.0984 0.5000 0.5552
Er1 0.0000 0.5000 0.0000
Er2 0.1304 0.0000 0.8886
Er3 0.2090 0.0000 0.4016
```

Formation energy, kJ/mol of atoms: 10
Excess energy over the best structure of this formula in the dataset, meV/atom: 0

A relaxed structure of SmHo2Cl. Source: Alexandria, functional PBE.

```
data_SmHo2Cl
_cell_length_a 3.4316
_cell_length_b 3.4316
_cell_length_c 33.4654
_cell_angle_alpha 90.00
_cell_angle_beta 90.00
_cell_angle_gamma 120.00
_symmetry_space_group_name_H-M 'R -3 m'
_symmetry_Int_Tables_number 166
_symmetry_space_group_name_Hall '-R 3 2"'
loop_
_atom_site_label
_atom_site_fract_x
_atom_site_fract_y
_atom_site_fract_z
Sm1 0.0000 0.0000 0.0000
Ho1 0.0000 0.0000 0.1008
Cl1 0.0000 0.0000 0.5000
```

A relaxed structure of Rb3Tm2MgSe6. Source: Alexandria, functional PBE.

```
data_Rb3Tm2MgSe6
_cell_length_a 7.1748
_cell_length_b 12.4295
_cell_length_c 8.3860
_cell_angle_alpha 90.00
_cell_angle_beta 106.58
_cell_angle_gamma 90.00
_symmetry_space_group_name_H-M 'C 1 2/m 1'
_symmetry_Int_Tables_number 12
loop_
_symmetry_equiv_pos_as_xyz
'x,y,z'
'-x,-y,-z'
'-x,y,-z'
'x,-y,z'
'x+1/2,y+1/2,z'
'-x+1/2,-y+1/2,-z'
'-x+1/2,y+1/2,-z'
'x+1/2,-y+1/2,z'
loop_
_atom_site_label
_atom_site_fract_x
_atom_site_fract_y
_atom_site_fract_z
Rb1 0.0000 0.0000 0.0000
Rb2 0.0000 0.3332 0.0000
Tm1 0.0000 0.1666 0.5000
Mg1 0.0000 0.5000 0.5000
Se1 0.2294 0.3345 0.6917
Se2 0.2328 0.0000 0.6919
```

A relaxed structure of K2PAu. Source: Alexandria, functional PBE.

```
data_K2PAu
_cell_length_a 12.4500
_cell_length_b 12.4500
_cell_length_c 4.7032
_cell_angle_alpha 90.00
_cell_angle_beta 90.00
_cell_angle_gamma 90.00
_symmetry_space_group_name_H-M 'I -4 2 d'
_symmetry_Int_Tables_number 122
_symmetry_space_group_name_Hall 'I -4 2bw'
loop_
_atom_site_label
_atom_site_fract_x
_atom_site_fract_y
_atom_site_fract_z
K1 0.0140 0.2500 0.1250
P1 0.0000 0.0000 0.0000
Au1 0.0000 0.0000 0.5000
```

Formation energy, kJ/mol of atoms: -26

A relaxed structure of SmPaIrRh. Source: Alexandria, functional PBE.

```
data_SmPaIrRh
_cell_length_a 6.9508
_cell_length_b 6.9508
_cell_length_c 6.9508
_cell_angle_alpha 90.00
_cell_angle_beta 90.00
_cell_angle_gamma 90.00
_symmetry_space_group_name_H-M 'F -4 3 m'
_symmetry_Int_Tables_number 216
_symmetry_space_group_name_Hall 'F -4 2 3'
loop_
_atom_site_label
_atom_site_fract_x
_atom_site_fract_y
_atom_site_fract_z
Sm1 0.0000 0.0000 0.0000
Pa1 0.0000 0.0000 0.5000
Ir1 0.2500 0.2500 0.7500
Rh1 0.2500 0.2500 0.2500
```

Formation energy, kJ/mol of atoms: -60
Excess energy over the best structure of this formula in the dataset, meV/atom: 194

A relaxed structure of BaTcAu2. Source: Alexandria, functional PBE.

```
data_BaTcAu2
_cell_length_a 3.7252
_cell_length_b 4.1570
_cell_length_c 6.8207
_cell_angle_alpha 90.00
_cell_angle_beta 90.00
_cell_angle_gamma 90.00
_symmetry_space_group_name_H-M 'P m m 2'
_symmetry_Int_Tables_number 25
loop_
_symmetry_equiv_pos_as_xyz
'x,y,z'
'-x,-y,z'
'-x,y,z'
'x,-y,z'
loop_
_atom_site_label
_atom_site_fract_x
_atom_site_fract_y
_atom_site_fract_z
Ba1 0.0000 0.0000 0.0000
Tc1 0.0000 0.5000 0.5587
Au1 0.5000 0.0000 0.5816
Au2 0.5000 0.5000 0.2603
```

Formation energy, kJ/mol of atoms: 27
Excess energy over the best structure of this formula in the dataset, meV/atom: 227

A relaxed structure of ErGaOs. Source: Alexandria, functional PBE.

```
data_ErGaOs
_cell_length_a 4.3509
_cell_length_b 4.3509
_cell_length_c 3.5347
_cell_angle_alpha 90.00
_cell_angle_beta 90.00
_cell_angle_gamma 120.00
_symmetry_space_group_name_H-M 'P -6 m 2'
_symmetry_Int_Tables_number 187
_symmetry_space_group_name_Hall 'P -6 2'
loop_
_atom_site_label
_atom_site_fract_x
_atom_site_fract_y
_atom_site_fract_z
Er1 0.0000 0.0000 0.0000
Ga1 0.6667 0.3333 0.5000
Os1 0.3333 0.6667 0.5000
```

Formation energy, kJ/mol of atoms: -31

A relaxed structure of Ce4IrBr5. Source: Alexandria, functional PBE.

```
data_Ce4IrBr5
_cell_length_a 18.5378
_cell_length_b 4.0155
_cell_length_c 8.7077
_cell_angle_alpha 90.00
_cell_angle_beta 101.38
_cell_angle_gamma 90.00
_symmetry_space_group_name_H-M 'C 1 2/m 1'
_symmetry_Int_Tables_number 12
loop_
_symmetry_equiv_pos_as_xyz
'x,y,z'
'-x,-y,-z'
'-x,y,-z'
'x,-y,z'
'x+1/2,y+1/2,z'
'-x+1/2,-y+1/2,-z'
'-x+1/2,y+1/2,-z'
'x+1/2,-y+1/2,z'
loop_
_atom_site_label
_atom_site_fract_x
_atom_site_fract_y
_atom_site_fract_z
Ce1 0.0022 0.0000 0.2164
Ce2 0.1634 0.5000 0.0657
Ir1 0.0000 0.5000 0.0000
Br1 0.0000 0.5000 0.5000
Br2 0.1670 0.0000 0.8023
Br3 0.1679 0.0000 0.3267
```

A relaxed structure of BaLi4O3. Source: Alexandria, functional PBE.

```
data_BaLi4O3
_cell_length_a 5.8096
_cell_length_b 9.2334
_cell_length_c 13.6013
_cell_angle_alpha 90.00
_cell_angle_beta 90.00
_cell_angle_gamma 90.00
_symmetry_space_group_name_H-M 'C m c e'
_symmetry_Int_Tables_number 64
_symmetry_space_group_name_Hall '-C 2ac 2'
loop_
_atom_site_label
_atom_site_fract_x
_atom_site_fract_y
_atom_site_fract_z
Ba1 0.0000 0.0118 0.1594
Li1 0.0000 0.1766 0.6716
Li2 0.0000 0.1960 0.3393
Li3 0.1776 0.1321 0.5032
O1 0.0000 0.0032 0.3969
O2 0.0000 0.1853 0.9945
O3 0.2500 0.2453 0.7500
```

A relaxed structure of LiScRh. Source: Alexandria, functional PBE.

```
data_LiScRh
_cell_length_a 4.2567
_cell_length_b 4.2567
_cell_length_c 3.0507
_cell_angle_alpha 90.00
_cell_angle_beta 90.00
_cell_angle_gamma 120.00
_symmetry_space_group_name_H-M 'P 3 m 1'
_symmetry_Int_Tables_number 156
loop_
_symmetry_equiv_pos_as_xyz
'x,y,z'
'-y,x-y,z'
'-x+y,-x,z'
'-y,-x,z'
'-x+y,y,z'
'x,x-y,z'
loop_
_atom_site_label
_atom_site_fract_x
_atom_site_fract_y
_atom_site_fract_z
Li1 0.0000 0.0000 0.0000
Sc1 0.3333 0.6667 0.6012
Rh1 0.6667 0.3333 0.2172
```

Formation energy, kJ/mol of atoms: -44
Excess energy over the best structure of this formula in the dataset, meV/atom: 7

A relaxed structure of ThSc2Ru2. Source: Alexandria, functional PBE.

```
data_ThSc2Ru2
_cell_length_a 8.0618
_cell_length_b 4.6475
_cell_length_c 5.7594
_cell_angle_alpha 90.00
_cell_angle_beta 90.02
_cell_angle_gamma 90.00
_symmetry_space_group_name_H-M 'C 1 2/m 1'
_symmetry_Int_Tables_number 12
loop_
_symmetry_equiv_pos_as_xyz
'x,y,z'
'-x,-y,-z'
'-x,y,-z'
'x,-y,z'
'x+1/2,y+1/2,z'
'-x+1/2,-y+1/2,-z'
'-x+1/2,y+1/2,-z'
'x+1/2,-y+1/2,z'
loop_
_atom_site_label
_atom_site_fract_x
_atom_site_fract_y
_atom_site_fract_z
Th1 0.0000 0.0000 0.0000
Sc1 0.1674 0.5000 0.6422
Ru1 0.1647 0.5000 0.1570
```

Formation energy, kJ/mol of atoms: -45

A relaxed structure of Tm2Co2Cu. Source: Alexandria, functional PBE.

```
data_Tm2Co2Cu
_cell_length_a 6.6523
_cell_length_b 6.6523
_cell_length_c 3.8963
_cell_angle_alpha 90.00
_cell_angle_beta 90.00
_cell_angle_gamma 90.00
_symmetry_space_group_name_H-M 'P 4/m b m'
_symmetry_Int_Tables_number 127
_symmetry_space_group_name_Hall '-P 4 2ab'
loop_
_atom_site_label
_atom_site_fract_x
_atom_site_fract_y
_atom_site_fract_z
Tm1 0.1790 0.3210 0.0000
Co1 0.1220 0.6220 0.5000
Cu1 0.0000 0.0000 0.5000
```

Formation energy, kJ/mol of atoms: -19

A relaxed structure of K2RbBi. Source: Alexandria, functional PBE.

```
data_K2RbBi
_cell_length_a 4.3762
_cell_length_b 4.3762
_cell_length_c 11.8063
_cell_angle_alpha 90.00
_cell_angle_beta 90.00
_cell_angle_gamma 90.00
_symmetry_space_group_name_H-M 'P 4/m m m'
_symmetry_Int_Tables_number 123
_symmetry_space_group_name_Hall '-P 4 2'
loop_
_atom_site_label
_atom_site_fract_x
_atom_site_fract_y
_atom_site_fract_z
K1 0.0000 0.0000 0.1681
Rb1 0.5000 0.5000 0.5000
Bi1 0.5000 0.5000 0.0000
```

Formation energy, kJ/mol of atoms: -14

A relaxed structure of CsSn2IrBr. Source: Alexandria, functional PBE.

```
data_CsSn2IrBr
_cell_length_a 5.0539
_cell_length_b 5.0539
_cell_length_c 7.4344
_cell_angle_alpha 90.00
_cell_angle_beta 90.00
_cell_angle_gamma 90.00
_symmetry_space_group_name_H-M 'P 4/m m m'
_symmetry_Int_Tables_number 123
_symmetry_space_group_name_Hall '-P 4 2'
loop_
_atom_site_label
_atom_site_fract_x
_atom_site_fract_y
_atom_site_fract_z
Cs1 0.0000 0.0000 0.0000
Sn1 0.0000 0.5000 0.5000
Ir1 0.0000 0.0000 0.5000
Br1 0.5000 0.5000 0.0000
```

A relaxed structure of CePuZrPa. Source: Alexandria, functional PBE.

```
data_CePuZrPa
_cell_length_a 7.3130
_cell_length_b 7.3130
_cell_length_c 7.3130
_cell_angle_alpha 90.00
_cell_angle_beta 90.00
_cell_angle_gamma 90.00
_symmetry_space_group_name_H-M 'F -4 3 m'
_symmetry_Int_Tables_number 216
_symmetry_space_group_name_Hall 'F -4 2 3'
loop_
_atom_site_label
_atom_site_fract_x
_atom_site_fract_y
_atom_site_fract_z
Ce1 0.0000 0.0000 0.0000
Pu1 0.0000 0.0000 0.5000
Zr1 0.2500 0.2500 0.7500
Pa1 0.2500 0.2500 0.2500
```

Formation energy, kJ/mol of atoms: 21

A relaxed structure of V3SnH. Source: Alexandria, functional PBE.

```
data_V3SnH
_cell_length_a 4.5400
_cell_length_b 5.1159
_cell_length_c 5.5289
_cell_angle_alpha 82.11
_cell_angle_beta 89.62
_cell_angle_gamma 89.81
_symmetry_space_group_name_H-M 'P 1'
_symmetry_Int_Tables_number 1
loop_
_symmetry_equiv_pos_as_xyz
'x,y,z'
loop_
_atom_site_label
_atom_site_fract_x
_atom_site_fract_y
_atom_site_fract_z
V1 0.0000 0.0000 0.0000
V2 0.0034 0.5437 0.2459
V3 0.0092 0.4867 0.7575
V4 0.4653 0.8020 0.8451
V5 0.4751 0.7404 0.3593
V6 0.4793 0.2861 0.6048
Sn1 0.4946 0.2818 0.0957
Sn2 0.9830 0.0065 0.5121
H1 0.6439 0.5898 0.6429
H2 0.7257 0.7574 0.0958
```

A relaxed structure of PmErThMg. Source: Alexandria, functional PBE.

```
data_PmErThMg
_cell_length_a 3.5998
_cell_length_b 3.5998
_cell_length_c 9.2654
_cell_angle_alpha 90.00
_cell_angle_beta 90.00
_cell_angle_gamma 90.00
_symmetry_space_group_name_H-M 'P 4 m m'
_symmetry_Int_Tables_number 99
loop_
_symmetry_equiv_pos_as_xyz
'x,y,z'
'-y,x,z'
'-x,-y,z'
'y,-x,z'
'-x,y,z'
'y,x,z'
'x,-y,z'
'-y,-x,z'
loop_
_atom_site_label
_atom_site_fract_x
_atom_site_fract_y
_atom_site_fract_z
Pm1 0.0000 0.0000 0.0000
Er1 0.0000 0.0000 0.4810
Th1 0.5000 0.5000 0.7358
Mg1 0.5000 0.5000 0.2490
```

Formation energy, kJ/mol of atoms: -4
Excess energy over the best structure of this formula in the dataset, meV/atom: 0

A relaxed structure of TiNbHOs2. Source: Alexandria, functional PBE.

```
data_TiNbHOs2
_cell_length_a 4.1494
_cell_length_b 4.1494
_cell_length_c 3.7528
_cell_angle_alpha 90.00
_cell_angle_beta 90.00
_cell_angle_gamma 90.00
_symmetry_space_group_name_H-M 'P 4/m m m'
_symmetry_Int_Tables_number 123
_symmetry_space_group_name_Hall '-P 4 2'
loop_
_atom_site_label
_atom_site_fract_x
_atom_site_fract_y
_atom_site_fract_z
Ti1 0.0000 0.0000 0.0000
Nb1 0.5000 0.5000 0.0000
H1 0.0000 0.0000 0.5000
Os1 0.0000 0.5000 0.5000
```

A relaxed structure of LaNi2Ru. Source: Alexandria, functional PBE.

```
data_LaNi2Ru
_cell_length_a 3.2429
_cell_length_b 3.2429
_cell_length_c 6.3432
_cell_angle_alpha 90.00
_cell_angle_beta 90.00
_cell_angle_gamma 90.00
_symmetry_space_group_name_H-M 'P 4/m m m'
_symmetry_Int_Tables_number 123
_symmetry_space_group_name_Hall '-P 4 2'
loop_
_atom_site_label
_atom_site_fract_x
_atom_site_fract_y
_atom_site_fract_z
La1 0.0000 0.0000 0.0000
Ni1 0.5000 0.5000 0.3139
Ru1 0.0000 0.0000 0.5000
```

Formation energy, kJ/mol of atoms: 13

A relaxed structure of Rb2Pr2Cl7. Source: Alexandria, functional PBE.

```
data_Rb2Pr2Cl7
_cell_length_a 9.3205
_cell_length_b 10.4527
_cell_length_c 7.6071
_cell_angle_alpha 90.00
_cell_angle_beta 90.00
_cell_angle_gamma 90.00
_symmetry_space_group_name_H-M 'C m m m'
_symmetry_Int_Tables_number 65
_symmetry_space_group_name_Hall '-C 2 2'
loop_
_atom_site_label
_atom_site_fract_x
_atom_site_fract_y
_atom_site_fract_z
Rb1 0.2364 0.0000 0.0000
Pr1 0.0000 0.2794 0.5000
Cl1 0.0000 0.0000 0.5000
Cl2 0.0000 0.5000 0.2776
Cl3 0.2500 0.2500 0.2718
```

Record order is preserved below.
VASP energy: -4.54 -4.29 -4.30 -2.98 -8.23 -4.43 -6.60 -5.51 -4.96 -5.66 -8.20 -5.65 -1.91 -4.23 -9.36 -7.05 -4.62 -8.88 -6.31 -4.27 eV/atom
Record order is preserved below.
Density: 8.1 7.5 5.1 2.8 13.4 9.9 12.2 6.0 3.9 5.4 8.1 10.0 2.7 5.6 12.0 7.1 7.9 13.4 8.9 3.1 Mg/m³